Entry 1:
First-principles (PBE) data for an optimized crystal structure of La3Fe2S7, as listed in the Open Quantum Materials Database.

a b c (Å): 10.260 5.821 10.301
angles (deg): 90.00 119.60 90.00
Space group P2_1 (No. 4)
Symmetry-distinct sites (fractional):
La (0.125, 0.000, 0.262) (multiplicity 2)
La (0.264, 0.499, 0.634) (multiplicity 2)
La (0.362, 0.500, 0.123) (multiplicity 2)
Fe (0.166, 0.086, 0.832) (multiplicity 2)
Fe (0.499, 0.244, 0.501) (multiplicity 2)
S (0.016, 0.224, 0.601) (multiplicity 2)
S (0.084, 0.224, 0.983) (multiplicity 2)
S (0.167, 0.707, 0.832) (multiplicity 2)
S (0.268, 0.485, 0.351) (multiplicity 2)
S (0.355, 0.985, 0.583) (multiplicity 2)
S (0.398, 0.225, 0.912) (multiplicity 2)
S (0.414, 0.985, 0.266) (multiplicity 2)

mass density: 4.674 Mg/m³
energy: -6.4929 eV per atom

***

Entry 2:
First-principles (PBE) data for an optimized crystal structure of LaTlFeS3, as listed in the Open Quantum Materials Database.

a b c (Å): 4.115 14.102 11.131
angles (deg): 90.00 90.00 90.00
Space group Cmcm (No. 63)
Symmetry-distinct sites (fractional):
La (0.000, 0.000, 0.000) (multiplicity 4)
Tl (0.000, 0.250, 0.250) (multiplicity 4)
Fe (0.000, 0.474, 0.750) (multiplicity 4)
S (0.000, 0.059, 0.750) (multiplicity 4)
S (0.000, 0.376, 0.585) (multiplicity 8)

mass density: 5.093 Mg/m³
energy: -5.7275 eV per atom

***

Repeat the first record exactly.
First-principles (PBE) data for an optimized crystal structure of La3Fe2S7, as listed in the Open Quantum Materials Database.

a b c (Å): 10.260 5.821 10.301
angles (deg): 90.00 119.60 90.00
Space group P2_1 (No. 4)
Symmetry-distinct sites (fractional):
La (0.125, 0.000, 0.262) (multiplicity 2)
La (0.264, 0.499, 0.634) (multiplicity 2)
La (0.362, 0.500, 0.123) (multiplicity 2)
Fe (0.166, 0.086, 0.832) (multiplicity 2)
Fe (0.499, 0.244, 0.501) (multiplicity 2)
S (0.016, 0.224, 0.601) (multiplicity 2)
S (0.084, 0.224, 0.983) (multiplicity 2)
S (0.167, 0.707, 0.832) (multiplicity 2)
S (0.268, 0.485, 0.351) (multiplicity 2)
S (0.355, 0.985, 0.583) (multiplicity 2)
S (0.398, 0.225, 0.912) (multiplicity 2)
S (0.414, 0.985, 0.266) (multiplicity 2)

mass density: 4.674 Mg/m³
energy: -6.4929 eV per atom

***

- Which of these has the highest energy?
  LaTlFeS3

***

What did the second record say?
First-principles (PBE) data for an optimized crystal structure of LaTlFeS3, as listed in the Open Quantum Materials Database.

a b c (Å): 4.115 14.102 11.131
angles (deg): 90.00 90.00 90.00
Space group Cmcm (No. 63)
Symmetry-distinct sites (fractional):
La (0.000, 0.000, 0.000) (multiplicity 4)
Tl (0.000, 0.250, 0.250) (multiplicity 4)
Fe (0.000, 0.474, 0.750) (multiplicity 4)
S (0.000, 0.059, 0.750) (multiplicity 4)
S (0.000, 0.376, 0.585) (multiplicity 8)

mass density: 5.093 Mg/m³
energy: -5.7275 eV per atom